[1]
DFT (meta-GGA SCAN) results for ZnGa2SnI at its PBEsol-relaxed geometry.

CIF file:
```
data_ZnGa2SnI
_chemical_formula_sum 'Zn1 Ga2 Sn1 I1'
_symmetry_space_group_name_H-M 'P 4/m m m'
_symmetry_Int_Tables_number 123
_symmetry_space_group_name_Hall '-P 4 2'
_cell_length_a 5.779
_cell_length_b 5.779
_cell_length_c 5.826
_cell_angle_alpha 90.00
_cell_angle_beta 90.00
_cell_angle_gamma 90.00
loop_
_atom_site_label
_atom_site_type_symbol
_atom_site_fract_x
_atom_site_fract_y
_atom_site_fract_z
_atom_site_occupancy
Zn1 Zn 0.000 0.000 0.000 1
Ga1 Ga 0.000 0.500 0.500 1
Sn1 Sn 0.500 0.500 0.000 1
I1 I 0.500 0.500 0.500 1
```

Uncorrected formation energy = 1.011 eV per atom
V = 195 Å³ per cell

---

[2]
DFT (meta-GGA SCAN) results for Zr2TiAgO at its PBEsol-relaxed geometry.

CIF file:
```
data_Zr2TiAgO
_chemical_formula_sum 'Zr2 Ti1 Ag1 O1'
_symmetry_space_group_name_H-M 'P 4/m m m'
_symmetry_Int_Tables_number 123
_symmetry_space_group_name_Hall '-P 4 2'
_cell_length_a 5.185
_cell_length_b 5.185
_cell_length_c 3.643
_cell_angle_alpha 90.00
_cell_angle_beta 90.00
_cell_angle_gamma 90.00
loop_
_atom_site_label
_atom_site_type_symbol
_atom_site_fract_x
_atom_site_fract_y
_atom_site_fract_z
_atom_site_occupancy
Zr1 Zr 0.000 0.500 0.000 1
Ti1 Ti 0.000 0.000 0.000 1
Ag1 Ag 0.500 0.500 0.500 1
O1 O 0.000 0.000 0.500 1
```

Uncorrected formation energy = -0.024 eV per atom
V = 98 Å³ per cell

---

[3]
DFT (meta-GGA SCAN) results for CaSiN2 at its PBEsol-relaxed geometry.

CIF file:
```
data_CaSiN2
_chemical_formula_sum 'Ca8 Si8 N16'
_symmetry_space_group_name_H-M 'C m c e'
_symmetry_Int_Tables_number 64
_symmetry_space_group_name_Hall '-C 2ac 2'
_cell_length_a 5.399
_cell_length_b 10.900
_cell_length_c 6.785
_cell_angle_alpha 90.00
_cell_angle_beta 90.00
_cell_angle_gamma 90.00
loop_
_atom_site_label
_atom_site_type_symbol
_atom_site_fract_x
_atom_site_fract_y
_atom_site_fract_z
_atom_site_occupancy
Ca1 Ca 0.000 0.177 0.071 1
Si1 Si 0.000 0.062 0.643 1
N1 N 0.000 0.098 0.389 1
N2 N 0.250 0.133 0.750 1
```

Uncorrected formation energy = -1.424 eV per atom
V = 399 Å³ per cell

---

[4]
DFT (meta-GGA SCAN) results for MoPdF2 at its PBEsol-relaxed geometry.

CIF file:
```
data_MoPdF2
_chemical_formula_sum 'Mo3 Pd3 F6'
_symmetry_space_group_name_H-M 'R -3 m'
_symmetry_Int_Tables_number 166
_symmetry_space_group_name_Hall '-R 3 2"'
_cell_length_a 2.7124
_cell_length_b 2.7124
_cell_length_c 24.2149
_cell_angle_alpha 90.00
_cell_angle_beta 90.00
_cell_angle_gamma 120.00
loop_
_atom_site_label
_atom_site_type_symbol
_atom_site_fract_x
_atom_site_fract_y
_atom_site_fract_z
_atom_site_occupancy
Mo1 Mo 0.0000 0.0000 0.0000 1
Pd1 Pd 0.0000 0.0000 0.5000 1
F1 F 0.0000 0.0000 0.0799 1
```

Uncorrected formation energy = -0.898 eV per atom
V = 154 Å³ per cell

---

[5]
DFT (meta-GGA SCAN) results for MnTl2P at its PBEsol-relaxed geometry.

CIF file:
```
data_MnTl2P
_chemical_formula_sum 'Mn2 Tl4 P2'
_symmetry_space_group_name_H-M 'I m m 2'
_symmetry_Int_Tables_number 44
_symmetry_space_group_name_Hall 'I 2 -2'
_cell_length_a 3.186
_cell_length_b 4.691
_cell_length_c 11.220
_cell_angle_alpha 90.00
_cell_angle_beta 90.00
_cell_angle_gamma 90.00
loop_
_atom_site_label
_atom_site_type_symbol
_atom_site_fract_x
_atom_site_fract_y
_atom_site_fract_z
_atom_site_occupancy
Mn1 Mn 0.000 0.000 0.000 1
Tl1 Tl 0.000 0.000 0.449 1
Tl2 Tl 0.000 0.500 0.245 1
P1 P 0.000 0.500 0.642 1
```

Energy of formation = 0.1161 eV per atom
Polymorph energy (0 for the lowest one) = 0.0 kJ per mole of atoms
V = 168 Å³ per cell

---

[6]
DFT (meta-GGA SCAN) results for Tl2CrIn at its PBEsol-relaxed geometry.

CIF file:
```
data_Tl2CrIn
_chemical_formula_sum 'Tl4 Cr2 In2'
_symmetry_space_group_name_H-M 'I m m 2'
_symmetry_Int_Tables_number 44
_symmetry_space_group_name_Hall 'I 2 -2'
_cell_length_a 3.117
_cell_length_b 4.665
_cell_length_c 13.053
_cell_angle_alpha 90.00
_cell_angle_beta 90.00
_cell_angle_gamma 90.00
loop_
_atom_site_label
_atom_site_type_symbol
_atom_site_fract_x
_atom_site_fract_y
_atom_site_fract_z
_atom_site_occupancy
Tl1 Tl 0.000 0.000 0.000 1
Tl2 Tl 0.000 0.500 0.193 1
Cr1 Cr 0.000 0.500 0.693 1
In1 In 0.000 0.000 0.378 1
```

Energy of formation = 0.2073 eV per atom
Polymorph energy (0 for the lowest one) = 3.2 kJ per mole of atoms
V = 190 Å³ per cell

---

[7]
DFT (meta-GGA SCAN) results for Gd2CF2 at its PBEsol-relaxed geometry.

CIF file:
```
data_Gd2CF2
_chemical_formula_sum 'Gd2 C1 F2'
_symmetry_space_group_name_H-M 'P -3 m 1'
_symmetry_Int_Tables_number 164
_symmetry_space_group_name_Hall '-P 3 2"'
_cell_length_a 3.6806
_cell_length_b 3.6806
_cell_length_c 6.4355
_cell_angle_alpha 90.00
_cell_angle_beta 90.00
_cell_angle_gamma 120.00
loop_
_atom_site_label
_atom_site_type_symbol
_atom_site_fract_x
_atom_site_fract_y
_atom_site_fract_z
_atom_site_occupancy
Gd1 Gd 0.3333 0.6667 0.2135 1
C1 C 0.0000 0.0000 0.0000 1
F1 F 0.3333 0.6667 0.6148 1
```

Uncorrected formation energy = -2.528 eV per atom
V = 75 Å³ per cell

---

[8]
DFT (meta-GGA SCAN) results for Ga2FeAsH at its PBEsol-relaxed geometry.

CIF file:
```
data_Ga2FeAsH
_chemical_formula_sum 'Ga2 Fe1 As1 H1'
_symmetry_space_group_name_H-M 'P 4/m m m'
_symmetry_Int_Tables_number 123
_symmetry_space_group_name_Hall '-P 4 2'
_cell_length_a 4.434
_cell_length_b 4.434
_cell_length_c 3.307
_cell_angle_alpha 90.00
_cell_angle_beta 90.00
_cell_angle_gamma 90.00
loop_
_atom_site_label
_atom_site_type_symbol
_atom_site_fract_x
_atom_site_fract_y
_atom_site_fract_z
_atom_site_occupancy
Ga1 Ga 0.000 0.500 0.000 1
Fe1 Fe 0.000 0.000 0.500 1
As1 As 0.500 0.500 0.500 1
H1 H 0.000 0.000 0.000 1
```

Raw total energy = -14.4996 eV/atom
V = 65 Å³ per cell

---

[9]
DFT (meta-GGA SCAN) results for BaLiSn3 at its PBEsol-relaxed geometry.

CIF file:
```
data_BaLiSn3
_chemical_formula_sum 'Ba1 Li1 Sn3'
_symmetry_space_group_name_H-M 'P m -3 m'
_symmetry_Int_Tables_number 221
_symmetry_space_group_name_Hall '-P 4 2 3'
_cell_length_a 5.153
_cell_length_b 5.153
_cell_length_c 5.153
_cell_angle_alpha 90.00
_cell_angle_beta 90.00
_cell_angle_gamma 90.00
loop_
_atom_site_label
_atom_site_type_symbol
_atom_site_fract_x
_atom_site_fract_y
_atom_site_fract_z
_atom_site_occupancy
Ba1 Ba 0.000 0.000 0.000 1
Li1 Li 0.500 0.500 0.500 1
Sn1 Sn 0.000 0.500 0.500 1
```

Energy of formation = -0.3301 eV per atom
V = 137 Å³ per cell

---

[10]
DFT (meta-GGA SCAN) results for YHoCd2 at its PBEsol-relaxed geometry.

CIF file:
```
data_YHoCd2
_chemical_formula_sum 'Y4 Ho4 Cd8'
_symmetry_space_group_name_H-M 'F m -3 m'
_symmetry_Int_Tables_number 225
_symmetry_space_group_name_Hall '-F 4 2 3'
_cell_length_a 7.343
_cell_length_b 7.343
_cell_length_c 7.343
_cell_angle_alpha 90.00
_cell_angle_beta 90.00
_cell_angle_gamma 90.00
loop_
_atom_site_label
_atom_site_type_symbol
_atom_site_fract_x
_atom_site_fract_y
_atom_site_fract_z
_atom_site_occupancy
Y1 Y 0.000 0.000 0.000 1
Ho1 Ho 0.000 0.000 0.500 1
Cd1 Cd 0.250 0.250 0.250 1
```

Energy of formation = -0.4647 eV per atom
V = 396 Å³ per cell

---

[11]
DFT (meta-GGA SCAN) results for CaMgTa2 at its PBEsol-relaxed geometry.

CIF file:
```
data_CaMgTa2
_chemical_formula_sum 'Ca1 Mg1 Ta2'
_symmetry_space_group_name_H-M 'P 4/m m m'
_symmetry_Int_Tables_number 123
_symmetry_space_group_name_Hall '-P 4 2'
_cell_length_a 4.066
_cell_length_b 4.066
_cell_length_c 5.000
_cell_angle_alpha 90.00
_cell_angle_beta 90.00
_cell_angle_gamma 90.00
loop_
_atom_site_label
_atom_site_type_symbol
_atom_site_fract_x
_atom_site_fract_y
_atom_site_fract_z
_atom_site_occupancy
Ca1 Ca 0.000 0.000 0.000 1
Mg1 Mg 0.500 0.500 0.000 1
Ta1 Ta 0.000 0.500 0.500 1
```

Energy of formation = 0.7338 eV per atom
V = 83 Å³ per cell

---

[12]
DFT (meta-GGA SCAN) results for TcHg3B at its PBEsol-relaxed geometry.

CIF file:
```
data_TcHg3B
_chemical_formula_sum 'Tc1 Hg3 B1'
_symmetry_space_group_name_H-M 'P m -3 m'
_symmetry_Int_Tables_number 221
_symmetry_space_group_name_Hall '-P 4 2 3'
_cell_length_a 4.481
_cell_length_b 4.481
_cell_length_c 4.481
_cell_angle_alpha 90.00
_cell_angle_beta 90.00
_cell_angle_gamma 90.00
loop_
_atom_site_label
_atom_site_type_symbol
_atom_site_fract_x
_atom_site_fract_y
_atom_site_fract_z
_atom_site_occupancy
Tc1 Tc 0.000 0.000 0.000 1
Hg1 Hg 0.000 0.500 0.500 1
B1 B 0.500 0.500 0.500 1
```

Energy of formation = 1.1395 eV per atom
V = 90 Å³ per cell